Ca3Cd2Sn | the Alexandria database | PBE-GGA | relaxed; total energy = -14.68 eV per formula unit; space group = Cmmm; ΔE_f = -473 meV/atom; volume = 28.34 Å³ per atom; total moment = 0.00 μB per formula unit
1.0
2.738 -8.262 0.000
2.738 8.262 0.000
0.000 0.000 3.758
Ca Cd Sn
3 2 1
Direct
0.000 0.000 0.000 Ca
0.335 0.665 0.000 Ca
0.665 0.335 0.000 Ca
0.170 0.830 0.500 Cd
0.830 0.170 0.500 Cd
0.500 0.500 0.500 Sn